Here is an optimized crystal structure of YIn2HgPd from the Alexandria database. Energies are from PBEsol.

Results
Energy of formation from the pure elements, eV/atom: 0.548
Space-group type: No. 123
Total energy, eV/atom: -3.315
Density of states at the Fermi level, states/eV/cell: 3.72
Mass density, g/cm³: 7.045

Unit cell a=5.1339 b=5.1339 c=5.5940 alpha=90.00 beta=90.00 gamma=90.00
Last column: nearest neighbours and their distance in Å.
Element x y z (fractional)
Y  0.0000  0.0000  0.0000  2 Hg 2.80
In  0.0000  0.5000  0.5000  2 Hg 2.57
In  0.5000  0.0000  0.5000  2 Hg 2.57
Hg  0.0000  0.0000  0.5000  4 In 2.57, 2 Y 2.80
Pd  0.5000  0.5000  0.0000  4 Y 3.63, 8 In 3.80

=====

Here is an optimized crystal structure of Lu3BiRu4O14 from the Alexandria database. Energies are from PBEsol.

Results
Space-group type: No. 166
Total energy, eV/atom: -8.028
Density of states at the Fermi level, states/eV/cell: 11.56
Mass density, g/cm³: 8.986

Unit cell a=7.0825 b=7.0825 c=7.0825 alpha=60.09 beta=60.09 gamma=60.09
Last column: nearest neighbours and their distance in Å.
Element x y z (fractional)
Lu  0.0000  0.5000  0.5000  4 O 2.14-2.38
Lu  0.5000  0.0000  0.5000  4 O 2.14-2.38
Lu  0.5000  0.5000  0.0000  4 O 2.14-2.38
Bi  0.5000  0.5000  0.5000  8 O 2.28-2.44
Ru  0.0000  0.0000  0.0000  6 O 1.97
Ru  0.0000  0.0000  0.5000  6 O 1.97
Ru  0.0000  0.5000  0.0000  6 O 1.97
Ru  0.5000  0.0000  0.0000  6 O 1.97
O  0.0812  0.6634  0.6634  2 Ru 1.97
O  0.0866  0.0866  0.6638  2 Ru 1.97
O  0.0866  0.6638  0.0866  2 Ru 1.97
O  0.3362  0.9134  0.9134  2 Ru 1.97
O  0.3366  0.3366  0.9188  2 Ru 1.97
O  0.3366  0.9188  0.3366  2 Ru 1.97
O  0.3684  0.3684  0.3684  3 Lu 2.14, 1 Bi 2.28
O  0.6316  0.6316  0.6316  3 Lu 2.14, 1 Bi 2.28
O  0.6634  0.0812  0.6634  2 Ru 1.97
O  0.6634  0.6634  0.0812  2 Ru 1.97
O  0.6638  0.0866  0.0866  2 Ru 1.97
O  0.9134  0.3362  0.9134  2 Ru 1.97
O  0.9134  0.9134  0.3362  2 Ru 1.97
O  0.9188  0.3366  0.3366  2 Ru 1.97

=====

Here is an optimized crystal structure of Ta2OsSe from the Alexandria database. Energies are from PBEsol.

Results
Space-group type: No. 25
Total energy, eV/atom: -10.251
Density of states at the Fermi level, states/eV/cell: 2.51
Mass density, g/cm³: 15.861

Unit cell a=3.0946 b=4.0944 c=5.2144 alpha=90.00 beta=90.00 gamma=90.00
Last column: nearest neighbours and their distance in Å.
Element x y z (fractional)
Ta  0.0000  0.0000  0.0000  2 Os 2.59-2.63, 4 Se 2.77
Ta  0.5000  0.5000  0.3017  2 Se 2.59-2.63, 4 Os 2.76
Os  0.0000  0.0000  0.4961  6 Ta 2.59-2.76
Se  0.5000  0.5000  0.7979  6 Ta 2.59-2.77

=====

Q: Which of these has the lowest total energy?
A: Ta2OsSe

=====

Q: The highest density of states at the Fermi level belongs to which entry?
A: Lu3BiRu4O14